# 1
First-principles (GGA-PBE) data for a relaxed structure of Y2TcSn2, as listed in Alexandria.

## Properties
density of states at the Fermi level	3.722	states/eV/f.u.
density	7.09	g/cm3
calculated formation energy	-407	meV/atom

a b c (Å): 7.305 7.305 4.507
angles (deg): 90.00 90.00 90.00
Space group P4/mbm (No. 127)
Symmetry-distinct sites (fractional):
Y: 0.173 0.327 0.000 [4 per cell]
Tc: 0.000 0.000 0.500 [2 per cell]
Sn: 0.140 0.640 0.500 [4 per cell]



# 2
First-principles (GGA-PBE) data for a relaxed structure of YTc3Sn, as listed in Alexandria.

## Properties
relative energy among the computed polymorphs	0.00	eV/f.u.
density of states at the Fermi level	6.165	states/eV/f.u.
density	7.11	g/cm3
calculated formation energy	1367	meV/atom

a b c (Å): 4.893 4.893 4.893
angles (deg): 90.00 90.00 90.00
Space group Pm-3m (No. 221)
Symmetry-distinct sites (fractional):
Y: 0.000 0.000 0.000 [1 per cell]
Tc: 0.000 0.500 0.500 [3 per cell]
Sn: 0.500 0.500 0.500 [1 per cell]



# 3
First-principles (GGA-PBE) data for a relaxed structure of YTc3Sn, as listed in Alexandria.

## Properties
relative energy among the computed polymorphs	3.52	eV/f.u.
density of states at the Fermi level	4.262	states/eV/f.u.
density	7.11	g/cm3
calculated formation energy	2072	meV/atom

a b c (Å): 4.893 4.893 4.893
angles (deg): 90.00 90.00 90.00
Space group Pm-3m (No. 221)
Symmetry-distinct sites (fractional):
Y: 0.000 0.000 0.000 [1 per cell]
Tc: 0.000 0.000 0.500 [3 per cell]
Sn: 0.500 0.500 0.500 [1 per cell]



# 4
First-principles (GGA-PBE) data for a relaxed structure of YTcSn2, as listed in Alexandria.

## Properties
relative energy among the computed polymorphs	0.00	eV/f.u.
density of states at the Fermi level	2.389	states/eV/f.u.
density	7.83	g/cm3
calculated formation energy	-236	meV/atom

a b c (Å): 4.5667 4.5667 14.9441
angles (deg): 90.00 90.00 120.00
Space group R-3m (No. 166, hexagonal axes)
Symmetry-distinct sites (fractional):
Y: 0.0000 0.0000 0.0000 [3 per cell]
Tc: 0.0000 0.0000 0.5000 [3 per cell]
Sn: 0.0000 0.0000 0.2270 [6 per cell]



# 5
First-principles (GGA-PBE) data for a relaxed structure of YTcSn, as listed in Alexandria.

## Properties
density of states at the Fermi level	2.132	states/eV/f.u.
density	7.16	g/cm3
calculated formation energy	-319	meV/atom

a b c (Å): 4.583 4.583 6.750
angles (deg): 90.00 90.00 90.00
Space group P4/nmm (No. 129, origin choice 2)
Symmetry-distinct sites (fractional):
Y: 0.250 0.250 0.214 [2 per cell]
Tc: 0.250 0.750 0.500 [2 per cell]
Sn: 0.250 0.250 0.723 [2 per cell]



# 6
First-principles (GGA-PBE) data for a relaxed structure of YTcSn2, as listed in Alexandria.

## Properties
relative energy among the computed polymorphs	0.32	eV/f.u.
density of states at the Fermi level	1.647	states/eV/f.u.
density	8.35	g/cm3
calculated formation energy	-156	meV/atom

a b c (Å): 6.964 6.964 6.964
angles (deg): 90.00 90.00 90.00
Space group Fm-3m (No. 225)
Symmetry-distinct sites (fractional):
Y: 0.000 0.000 0.000 [4 per cell]
Tc: 0.000 0.000 0.500 [4 per cell]
Sn: 0.250 0.250 0.250 [8 per cell]



# 7
First-principles (GGA-PBE) data for a relaxed structure of YZnTcSn2, as listed in Alexandria.

## Properties
density of states at the Fermi level	4.281	states/eV/f.u.
density	6.60	g/cm3
calculated formation energy	522	meV/atom

a b c (Å): 5.061 5.061 4.813
angles (deg): 90.00 90.00 90.00
Space group P4/mmm (No. 123)
Symmetry-distinct sites (fractional):
Y: 0.000 0.000 0.000 [1 per cell]
Zn: 0.500 0.500 0.500 [1 per cell]
Tc: 0.500 0.500 0.000 [1 per cell]
Sn: 0.000 0.500 0.500 [2 per cell]



# 8
First-principles (GGA-PBE) data for a relaxed structure of Zn4TcSn, as listed in Alexandria.

## Properties
density of states at the Fermi level	3.084	states/eV/f.u.
density	8.53	g/cm3
calculated formation energy	165	meV/atom

a b c (Å): 7.195 7.195 7.195
angles (deg): 90.00 90.00 90.00
Space group F-43m (No. 216)
Symmetry-distinct sites (fractional):
Zn: 0.123 0.123 0.377 [16 per cell]
Tc: 0.250 0.250 0.750 [4 per cell]
Sn: 0.000 0.000 0.000 [4 per cell]



Q: Among the records above, which one has the highest calculated formation energy?
A: number 3



Q: Number 5 is which compound?
A: YTcSn



Q: What is the calculated formation energy in the sixth record?
A: -156 meV/atom



Q: Among the records above, which one has the highest calculated formation energy?
A: number 3